[1]
# TbSmGa (GGA-PBE, optimized geometry)
data_TbSmGa
_chemical_formula_sum 'Tb3 Sm3 Ga3'
_cell_length_a 4.4639
_cell_length_b 7.9536
_cell_length_c 7.9536
_cell_angle_alpha 120.00
_cell_angle_beta 90.00
_cell_angle_gamma 90.00
_symmetry_space_group_name_H-M 'P 1'
_symmetry_Int_Tables_number 1
loop_
_symmetry_equiv_pos_as_xyz
'x,y,z'
loop_
_atom_site_label
_atom_site_fract_x
_atom_site_fract_y
_atom_site_fract_z
Tb1 0.0000 0.7335 0.7335
Sm1 0.5000 0.0000 0.5971
Tb2 0.0000 0.0000 0.2665
Ga1 0.5000 0.0000 0.0000
Tb3 0.0000 0.2665 0.0000
Sm2 0.5000 0.4029 0.4029
Sm3 0.5000 0.5971 0.0000
Ga2 0.0000 0.3333 0.6667
Ga3 0.0000 0.6667 0.3333
# calculated formation energy: -1.207 eV per formula unit
# space group: P-62m, No. 189
# offset from the most stable computed form: 0.0 meV per atom
# crystal system: hexagonal
# DOS(E_F): 1.114 states/eV/atom

[2]
# Tb5SmGa6 (GGA-PBE, optimized geometry)
data_Tb5SmGa6
_chemical_formula_sum 'Tb5 Sm1 Ga6'
_cell_length_a 5.0825
_cell_length_b 7.1912
_cell_length_c 8.0357
_cell_angle_alpha 90.00
_cell_angle_beta 71.71
_cell_angle_gamma 90.00
_symmetry_space_group_name_H-M 'P 1'
_symmetry_Int_Tables_number 1
loop_
_symmetry_equiv_pos_as_xyz
'x,y,z'
loop_
_atom_site_label
_atom_site_fract_x
_atom_site_fract_y
_atom_site_fract_z
Ga1 0.8319 0.7476 0.3362
Ga2 0.8318 0.2524 0.3362
Ga3 0.4999 0.7481 0.0000
Tb1 0.6671 0.0000 0.6658
Sm1 0.0000 0.0000 0.0000
Tb2 0.0000 0.5000 0.0000
Tb3 0.3346 0.5000 0.3308
Ga4 0.1682 0.7476 0.6638
Ga5 0.5001 0.2519 0.0000
Tb4 0.6654 0.5000 0.6692
Tb5 0.3329 0.0000 0.3342
Ga6 0.1681 0.2524 0.6638
# calculated formation energy: -7.006 eV per formula unit
# space group: P2/m, No. 10
# crystal system: monoclinic
# DOS(E_F): 0.343 states/eV/atom

[3]
# Tb2SmGa (GGA-PBE, optimized geometry)
data_Tb2SmGa
_chemical_formula_sum 'Tb2 Sm1 Ga1'
_cell_length_a 3.5100
_cell_length_b 3.5100
_cell_length_c 11.5498
_cell_angle_alpha 81.26
_cell_angle_beta 81.26
_cell_angle_gamma 60.00
_symmetry_space_group_name_H-M 'P 1'
_symmetry_Int_Tables_number 1
loop_
_symmetry_equiv_pos_as_xyz
'x,y,z'
loop_
_atom_site_label
_atom_site_fract_x
_atom_site_fract_y
_atom_site_fract_z
Ga1 0.5000 0.5000 0.5000
Sm1 0.0000 0.0000 0.0000
Tb1 0.8972 0.8972 0.3084
Tb2 0.1028 0.1028 0.6916
# calculated formation energy: -0.058 eV per formula unit
# space group: R-3m, No. 166
# offset from the most stable computed form: 263.6 meV per atom
# crystal system: trigonal
# DOS(E_F): 1.471 states/eV/atom

[4]
# Tb2SmGa2 (GGA-PBE, optimized geometry)
data_Tb2SmGa2
_chemical_formula_sum 'Tb4 Sm2 Ga4'
_cell_length_a 4.3997
_cell_length_b 7.6907
_cell_length_c 7.6907
_cell_angle_alpha 90.00
_cell_angle_beta 90.00
_cell_angle_gamma 90.00
_symmetry_space_group_name_H-M 'P 1'
_symmetry_Int_Tables_number 1
loop_
_symmetry_equiv_pos_as_xyz
'x,y,z'
loop_
_atom_site_label
_atom_site_fract_x
_atom_site_fract_y
_atom_site_fract_z
Ga1 0.0000 0.1187 0.3813
Tb1 0.5000 0.3261 0.1739
Sm1 0.0000 0.5000 0.5000
Ga2 0.0000 0.3813 0.8813
Ga3 0.0000 0.8813 0.6187
Tb2 0.5000 0.6739 0.8261
Tb3 0.5000 0.8261 0.3261
Sm2 0.0000 0.0000 0.0000
Ga4 0.0000 0.6187 0.1187
Tb4 0.5000 0.1739 0.6739
# calculated formation energy: -2.460 eV per formula unit
# space group: P4/mbm, No. 127
# offset from the most stable computed form: 0.0 meV per atom
# crystal system: tetragonal
# DOS(E_F): 1.171 states/eV/atom

[5]
# Tb8Sm2Ga (GGA-PBE, optimized geometry)
data_Tb8Sm2Ga
_chemical_formula_sum 'Tb8 Sm2 Ga1'
_cell_length_a 5.4418
_cell_length_b 7.4410
_cell_length_c 9.7675
_cell_angle_alpha 112.35
_cell_angle_beta 106.17
_cell_angle_gamma 90.00
_symmetry_space_group_name_H-M 'P 1'
_symmetry_Int_Tables_number 1
loop_
_symmetry_equiv_pos_as_xyz
'x,y,z'
loop_
_atom_site_label
_atom_site_fract_x
_atom_site_fract_y
_atom_site_fract_z
Tb1 0.6311 0.3930 0.2623
Tb2 0.0001 0.7559 0.0002
Sm1 0.8078 0.3079 0.6156
Sm2 0.1922 0.6921 0.3844
Tb3 0.9999 0.2441 0.9998
Tb4 0.8169 0.8166 0.6338
Tb5 0.1831 0.1834 0.3662
Tb6 0.3689 0.6070 0.7377
Ga1 0.5000 0.0000 0.0000
Tb7 0.6315 0.8703 0.2630
Tb8 0.3685 0.1297 0.7370
# calculated formation energy: -0.238 eV per formula unit
# space group: C2/m, No. 12
# crystal system: monoclinic
# DOS(E_F): 1.407 states/eV/atom

[6]
# Tb2SmGa4 (GGA-PBE, optimized geometry)
data_Tb2SmGa4
_chemical_formula_sum 'Tb2 Sm1 Ga4'
_cell_length_a 4.1601
_cell_length_b 4.3085
_cell_length_c 9.6482
_cell_angle_alpha 102.90
_cell_angle_beta 102.45
_cell_angle_gamma 90.00
_symmetry_space_group_name_H-M 'P 1'
_symmetry_Int_Tables_number 1
loop_
_symmetry_equiv_pos_as_xyz
'x,y,z'
loop_
_atom_site_label
_atom_site_fract_x
_atom_site_fract_y
_atom_site_fract_z
Ga1 0.9329 0.4329 0.8659
Sm1 0.5000 0.0000 0.0000
Tb1 0.1845 0.1845 0.3691
Tb2 0.8155 0.8155 0.6309
Ga2 0.0671 0.5671 0.1341
Ga3 0.6466 0.6466 0.2931
Ga4 0.3534 0.3534 0.7069
# calculated formation energy: -4.553 eV per formula unit
# space group: Immm, No. 71
# crystal system: orthorhombic
# DOS(E_F): 0.685 states/eV/atom

[7]
# Tb2Sm2Ga (GGA-PBE, optimized geometry)
data_Tb2Sm2Ga
_chemical_formula_sum 'Tb2 Sm2 Ga1'
_cell_length_a 4.2478
_cell_length_b 4.2478
_cell_length_c 9.3517
_cell_angle_alpha 103.13
_cell_angle_beta 103.13
_cell_angle_gamma 90.00
_symmetry_space_group_name_H-M 'P 1'
_symmetry_Int_Tables_number 1
loop_
_symmetry_equiv_pos_as_xyz
'x,y,z'
loop_
_atom_site_label
_atom_site_fract_x
_atom_site_fract_y
_atom_site_fract_z
Tb1 0.4153 0.4153 0.8306
Sm1 0.2500 0.7500 0.5000
Ga1 0.0000 0.0000 0.0000
Tb2 0.5847 0.5847 0.1694
Sm2 0.7500 0.2500 0.5000
# calculated formation energy: 1.714 eV per formula unit
# space group: I4/mmm, No. 139
# crystal system: tetragonal
# DOS(E_F): 1.376 states/eV/atom

[8]
# Tb2SmGa6 (GGA-PBE, optimized geometry)
data_Tb2SmGa6
_chemical_formula_sum 'Tb2 Sm1 Ga6'
_cell_length_a 4.3416
_cell_length_b 7.0814
_cell_length_c 7.8388
_cell_angle_alpha 116.85
_cell_angle_beta 106.08
_cell_angle_gamma 90.00
_symmetry_space_group_name_H-M 'P 1'
_symmetry_Int_Tables_number 1
loop_
_symmetry_equiv_pos_as_xyz
'x,y,z'
loop_
_atom_site_label
_atom_site_fract_x
_atom_site_fract_y
_atom_site_fract_z
Ga1 0.3166 0.5094 0.6332
Sm1 0.0000 0.5000 0.0000
Ga2 0.5000 0.1856 0.0000
Tb1 0.1269 0.1269 0.2539
Ga3 0.3166 0.1238 0.6332
Ga4 0.6834 0.8762 0.3668
Ga5 0.5000 0.8144 0.0000
Ga6 0.6834 0.4906 0.3668
Tb2 0.8731 0.8731 0.7461
# calculated formation energy: -4.293 eV per formula unit
# space group: Immm, No. 71
# offset from the most stable computed form: 181.8 meV per atom
# crystal system: orthorhombic
# DOS(E_F): 0.501 states/eV/atom

[9]
# TbSmGaTc (GGA-PBE, optimized geometry)
data_TbSmGaTc
_chemical_formula_sum 'Tb1 Sm1 Ga1 Tc1'
_cell_length_a 5.0140
_cell_length_b 5.0140
_cell_length_c 5.0140
_cell_angle_alpha 60.00
_cell_angle_beta 60.00
_cell_angle_gamma 60.00
_symmetry_space_group_name_H-M 'P 1'
_symmetry_Int_Tables_number 1
loop_
_symmetry_equiv_pos_as_xyz
'x,y,z'
loop_
_atom_site_label
_atom_site_fract_x
_atom_site_fract_y
_atom_site_fract_z
Sm1 0.2500 0.2500 0.2500
Tc1 0.0000 0.0000 0.0000
Tb1 0.7500 0.7500 0.7500
Ga1 0.5000 0.5000 0.5000
# calculated formation energy: -0.690 eV per formula unit
# space group: F-43m, No. 216
# crystal system: cubic
# DOS(E_F): 1.034 states/eV/atom

[10]
# TbSm2Zn2Ga2 (GGA-PBE, optimized geometry)
data_TbSm2Zn2Ga2
_chemical_formula_sum 'Tb1 Sm2 Zn2 Ga2'
_cell_length_a 4.4580
_cell_length_b 4.4580
_cell_length_c 9.7493
_cell_angle_alpha 76.78
_cell_angle_beta 76.78
_cell_angle_gamma 60.00
_symmetry_space_group_name_H-M 'P 1'
_symmetry_Int_Tables_number 1
loop_
_symmetry_equiv_pos_as_xyz
'x,y,z'
loop_
_atom_site_label
_atom_site_fract_x
_atom_site_fract_y
_atom_site_fract_z
Ga1 0.7331 0.7331 0.8006
Zn1 0.3948 0.3948 0.8157
Zn2 0.6052 0.6052 0.1843
Sm1 0.1256 0.1256 0.6232
Ga2 0.2669 0.2669 0.1994
Tb1 0.0000 0.0000 0.0000
Sm2 0.8744 0.8744 0.3768
# calculated formation energy: -2.849 eV per formula unit
# space group: R-3m, No. 166
# crystal system: trigonal
# DOS(E_F): 0.468 states/eV/atom

[11]
# TbSmZn2Ga2 (GGA-PBE, optimized geometry)
data_TbSmZn2Ga2
_chemical_formula_sum 'Tb1 Sm1 Zn2 Ga2'
_cell_length_a 4.4423
_cell_length_b 4.4423
_cell_length_c 7.3581
_cell_angle_alpha 90.00
_cell_angle_beta 90.00
_cell_angle_gamma 120.00
_symmetry_space_group_name_H-M 'P 1'
_symmetry_Int_Tables_number 1
loop_
_symmetry_equiv_pos_as_xyz
'x,y,z'
loop_
_atom_site_label
_atom_site_fract_x
_atom_site_fract_y
_atom_site_fract_z
Zn1 0.3333 0.6667 0.2630
Sm1 0.0000 0.0000 0.0000
Ga1 0.6667 0.3333 0.2588
Ga2 0.3333 0.6667 0.7412
Tb1 0.0000 0.0000 0.5000
Zn2 0.6667 0.3333 0.7370
# calculated formation energy: -3.400 eV per formula unit
# space group: P-3m1, No. 164
# crystal system: trigonal
# DOS(E_F): 0.506 states/eV/atom

[12]
# SmGa2Tc (GGA-PBE, optimized geometry)
data_SmGa2Tc
_chemical_formula_sum 'Sm1 Ga2 Tc1'
_cell_length_a 3.2729
_cell_length_b 3.2729
_cell_length_c 6.9463
_cell_angle_alpha 90.00
_cell_angle_beta 90.00
_cell_angle_gamma 90.00
_symmetry_space_group_name_H-M 'P 1'
_symmetry_Int_Tables_number 1
loop_
_symmetry_equiv_pos_as_xyz
'x,y,z'
loop_
_atom_site_label
_atom_site_fract_x
_atom_site_fract_y
_atom_site_fract_z
Ga1 0.0000 0.0000 0.1918
Tc1 0.5000 0.5000 0.0000
Ga2 0.0000 0.0000 0.8082
Sm1 0.5000 0.5000 0.5000
# calculated formation energy: -1.100 eV per formula unit
# space group: P4/mmm, No. 123
# offset from the most stable computed form: 0.0 meV per atom
# crystal system: tetragonal
# DOS(E_F): 1.190 states/eV/atom

Q: Number 2 is which compound?
A: Tb5SmGa6